Record 1
# La3PrTm3

La3PrTm3 after structural relaxation (PBE-GGA, Alexandria).

Computed properties:
**Energy above the most stable polymorph in this dataset**: 0.102 eV/atom
**Energy of formation from the pure elements**: 13.0 kJ/mol of atoms
**Density of states at the Fermi level**: 58.0 states/eV per cell

Structure (CIF):
```
data_La3PrTm3
_chemical_formula_sum 'La18 Pr6 Tm18'
_space_group_name_H-M_alt 'R -3'
_space_group_IT_number 148
_space_group_name_Hall '-R 3'
_cell_length_a 9.4790
_cell_length_b 9.4790
_cell_length_c 18.8117
_cell_angle_alpha 90.00
_cell_angle_beta 90.00
_cell_angle_gamma 120.00
loop_
_atom_site_label
_atom_site_type_symbol
_atom_site_fract_x
_atom_site_fract_y
_atom_site_fract_z
La1 La 0.0492 0.2419 0.0776
Pr1 Pr 0.0000 0.0000 0.4087
Tm1 Tm 0.0496 0.2345 0.2609
```

---

Record 2
# Pu4Th3N8

Pu4Th3N8 after structural relaxation (PBE-GGA, Alexandria).

Computed properties:
**ΔE_f (raw)**: -1.191 eV/atom
**Density of states at the Fermi level**: 61.3 states/eV per cell

Structure (CIF):
```
data_Pu4Th3N8
_chemical_formula_sum 'Pu8 Th6 N16'
_space_group_name_H-M_alt 'C 1 2/m 1'
_space_group_IT_number 12
_cell_length_a 9.9938
_cell_length_b 10.1149
_cell_length_c 7.0605
_cell_angle_alpha 90.00
_cell_angle_beta 134.46
_cell_angle_gamma 90.00
loop_
_space_group_symop_operation_xyz
'x,y,z'
'-x,-y,-z'
'-x,y,-z'
'x,-y,z'
'x+1/2,y+1/2,z'
'-x+1/2,-y+1/2,-z'
'-x+1/2,y+1/2,-z'
'x+1/2,-y+1/2,z'
loop_
_atom_site_label
_atom_site_type_symbol
_atom_site_fract_x
_atom_site_fract_y
_atom_site_fract_z
Pu1 Pu 0.0000 0.0000 0.0000
Pu2 Pu 0.0000 0.0000 0.5000
Pu3 Pu 0.2500 0.2500 0.0000
Th1 Th 0.0000 0.5000 0.0000
Th2 Th 0.2500 0.2500 0.5000
N1 N 0.0000 0.2256 0.5000
N2 N 0.0000 0.2504 0.0000
N3 N 0.2198 0.0000 0.9500
N4 N 0.2232 0.0000 0.4934
```

---

Record 3
# BaAg3Br6

BaAg3Br6 after structural relaxation (PBE-GGA, Alexandria).

Computed properties:
**ΔE_f (raw)**: -0.829 eV/atom
**Density of states at the Fermi level**: 10.1 states/eV per cell

Structure (CIF):
```
data_BaAg3Br6
_chemical_formula_sum 'Ba2 Ag6 Br12'
_space_group_name_H-M_alt 'C m m m'
_space_group_IT_number 65
_space_group_name_Hall '-C 2 2'
_cell_length_a 9.8421
_cell_length_b 14.0926
_cell_length_c 4.7774
_cell_angle_alpha 90.00
_cell_angle_beta 90.00
_cell_angle_gamma 90.00
loop_
_atom_site_label
_atom_site_type_symbol
_atom_site_fract_x
_atom_site_fract_y
_atom_site_fract_z
Ba1 Ba 0.0000 0.0000 0.0000
Ag1 Ag 0.0000 0.5000 0.0000
Ag2 Ag 0.2500 0.2500 0.5000
Br1 Br 0.0000 0.1598 0.5000
Br2 Br 0.1947 0.3719 0.0000
```

---

Record 4
# Sm4MgIn

Sm4MgIn after structural relaxation (PBE-GGA, Alexandria).

Computed properties:
**Energy above the most stable polymorph in this dataset**: 0.000 eV/atom
**Energy of formation from the pure elements**: 2.4 kJ/mol of atoms
**Density of states at the Fermi level**: 8.2 states/eV per cell

Structure (CIF):
```
data_Sm4MgIn
_chemical_formula_sum 'Sm4 Mg1 In1'
_space_group_name_H-M_alt 'P m m m'
_space_group_IT_number 47
_cell_length_a 3.4695
_cell_length_b 5.7271
_cell_length_c 9.5784
_cell_angle_alpha 90.00
_cell_angle_beta 90.00
_cell_angle_gamma 90.00
loop_
_space_group_symop_operation_xyz
'x,y,z'
'-x,-y,-z'
'-x,-y,z'
'x,y,-z'
'x,-y,-z'
'-x,y,z'
'-x,y,-z'
'x,-y,z'
loop_
_atom_site_label
_atom_site_type_symbol
_atom_site_fract_x
_atom_site_fract_y
_atom_site_fract_z
Sm1 Sm 0.0000 0.0000 0.1912
Sm2 Sm 0.5000 0.5000 0.3017
Mg1 Mg 0.5000 0.0000 0.5000
In1 In 0.0000 0.5000 0.0000
```

---

Q: What is the formula in the fourth record?
A: Sm4MgIn

---

Copy entry 3 word for word.
# BaAg3Br6

BaAg3Br6 after structural relaxation (PBE-GGA, Alexandria).

Computed properties:
**ΔE_f (raw)**: -0.829 eV/atom
**Density of states at the Fermi level**: 10.1 states/eV per cell

Structure (CIF):
```
data_BaAg3Br6
_chemical_formula_sum 'Ba2 Ag6 Br12'
_space_group_name_H-M_alt 'C m m m'
_space_group_IT_number 65
_space_group_name_Hall '-C 2 2'
_cell_length_a 9.8421
_cell_length_b 14.0926
_cell_length_c 4.7774
_cell_angle_alpha 90.00
_cell_angle_beta 90.00
_cell_angle_gamma 90.00
loop_
_atom_site_label
_atom_site_type_symbol
_atom_site_fract_x
_atom_site_fract_y
_atom_site_fract_z
Ba1 Ba 0.0000 0.0000 0.0000
Ag1 Ag 0.0000 0.5000 0.0000
Ag2 Ag 0.2500 0.2500 0.5000
Br1 Br 0.0000 0.1598 0.5000
Br2 Br 0.1947 0.3719 0.0000
```